Entry 1:
Computed, not measured: a relaxed structure of Hf4PdRh7 at the PBE level of DFT.

Calculated density (g cm⁻³): 12.19
Formation energy (kJ per mole of atoms): -46.0

CIF file:
```
data_Hf4PdRh7
_chemical_formula_sum 'Hf4 Pd1 Rh7'
_cell_length_a 4.892
_cell_length_b 5.793
_cell_length_c 7.518
_cell_angle_alpha 93.83
_cell_angle_beta 94.02
_cell_angle_gamma 97.99
_symmetry_space_group_name_H-M 'P -1'
_symmetry_Int_Tables_number 2
loop_
_symmetry_equiv_pos_as_xyz
'x,y,z'
'-x,-y,-z'
loop_
_atom_site_label
_atom_site_fract_x
_atom_site_fract_y
_atom_site_fract_z
Hf1 0.169 0.112 0.309
Hf2 0.273 0.603 0.147
Pd1 0.000 0.500 0.500
Rh1 0.169 0.195 0.956
Rh2 0.293 0.671 0.808
Rh3 0.368 0.087 0.645
Rh4 0.500 0.500 0.500
```

Entry 2:
Computed, not measured: a relaxed structure of BaBO2 at the PBE level of DFT.

Calculated density (g cm⁻³): 5.95
Energy relative to the elements, uncorrected (eV per formula unit): -0.67

CIF file:
```
data_BaBO2
_chemical_formula_sum 'Ba3 B3 O6'
_cell_length_a 2.9348
_cell_length_b 2.9348
_cell_length_c 20.2204
_cell_angle_alpha 90.00
_cell_angle_beta 90.00
_cell_angle_gamma 120.00
_symmetry_space_group_name_H-M 'R -3 m'
_symmetry_Int_Tables_number 166
_symmetry_space_group_name_Hall '-R 3 2"'
loop_
_atom_site_label
_atom_site_fract_x
_atom_site_fract_y
_atom_site_fract_z
Ba1 0.0000 0.0000 0.0000
B1 0.0000 0.0000 0.5000
O1 0.0000 0.0000 0.1257
```

Entry 3:
Computed, not measured: a relaxed structure of LiGd2Zr at the PBE level of DFT.

Polymorph energy (0 for the lowest one) (eV/atom): 0.0933
Calculated density (g cm⁻³): 6.45
Formation energy (kJ per mole of atoms): 16.7

CIF file:
```
data_LiGd2Zr
_chemical_formula_sum 'Li1 Gd2 Zr1'
_cell_length_a 5.569
_cell_length_b 5.569
_cell_length_c 3.425
_cell_angle_alpha 90.00
_cell_angle_beta 90.00
_cell_angle_gamma 90.00
_symmetry_space_group_name_H-M 'P 4/m m m'
_symmetry_Int_Tables_number 123
_symmetry_space_group_name_Hall '-P 4 2'
loop_
_atom_site_label
_atom_site_fract_x
_atom_site_fract_y
_atom_site_fract_z
Li1 0.000 0.000 0.000
Gd1 0.000 0.500 0.500
Zr1 0.500 0.500 0.000
```